The following is a PBE calculation of UGa2BiO8 after structural relaxation, from Alexandria.

a = 6.901 Å, b = 6.901 Å, c = 6.765 Å
α = 90.00°, β = 90.00°, γ = 90.00°
Space group I-4m2 (No. 119)
Symmetry-distinct sites (fractional):
U 0.000 0.000 0.000 [2 per cell]
Ga 0.000 0.000 0.500 [2 per cell]
Ga 0.000 0.500 0.750 [2 per cell]
Bi 0.000 0.500 0.250 [2 per cell]
O 0.000 0.178 0.297 [8 per cell]
O 0.000 0.304 0.940 [8 per cell]

The calculation puts the uncorrected formation energy at -1938 meV/atom. The total magnetization comes out at 0.0000 μB per atom.



The following is a PBE calculation of TlVRu3 after structural relaxation, from Alexandria.

a = 4.918 Å, b = 4.918 Å, c = 4.918 Å
α = 90.00°, β = 90.00°, γ = 90.00°
Space group Pm-3m (No. 221)
Symmetry-distinct sites (fractional):
Tl 0.000 0.000 0.000 [1 per cell]
V 0.500 0.500 0.500 [1 per cell]
Ru 0.000 0.000 0.500 [3 per cell]

As for the energy relative to the elements: 2.3638 eV/atom. The total magnetization comes out at 0.3576 μB per atom.



The following is a PBE calculation of Sc3InO after structural relaxation, from Alexandria.

a = 8.2267 Å, b = 8.2267 Å, c = 10.7743 Å
α = 90.00°, β = 90.00°, γ = 120.00°
Space group R-3c (No. 167, hexagonal axes)
Symmetry-distinct sites (fractional):
Sc 0.0000 0.2434 0.2500 [18 per cell]
In 0.0000 0.0000 0.0000 [6 per cell]
O 0.0000 0.0000 0.2500 [6 per cell]

The calculation puts the uncorrected formation energy at -1019 meV/atom. The total magnetization comes out at 0.0000 μB per atom.



The following is a PBE calculation of Nd8Cu2Ag after structural relaxation, from Alexandria.

a = 18.415 Å, b = 5.243 Å, c = 7.036 Å
α = 90.00°, β = 107.88°, γ = 90.00°
Space group C2/m (No. 12)
Symmetry-distinct sites (fractional):
Nd 0.031 0.000 0.278 [4 per cell]
Nd 0.093 0.500 0.971 [4 per cell]
Nd 0.174 0.500 0.496 [4 per cell]
Nd 0.197 0.000 0.839 [4 per cell]
Cu 0.178 0.000 0.229 [4 per cell]
Ag 0.000 0.500 0.500 [2 per cell]

As for the energy relative to the elements: -0.0735 eV/atom. The total magnetization comes out at 0.0000 μB per atom.



The following is a PBE calculation of NdYAg after structural relaxation, from Alexandria.

a = 3.643 Å, b = 3.643 Å, c = 12.916 Å
α = 90.00°, β = 90.00°, γ = 90.00°
Space group I4mm (No. 107)
Symmetry-distinct sites (fractional):
Nd 0.000 0.000 0.000 [2 per cell]
Y 0.000 0.000 0.296 [2 per cell]
Ag 0.000 0.000 0.659 [2 per cell]

As for the energy relative to the elements: -0.1667 eV/atom. The total magnetization comes out at 0.1063 μB per atom.



The following is a PBE calculation of Pr3SbSe after structural relaxation, from Alexandria.

a = 7.463 Å, b = 4.379 Å, c = 11.354 Å
α = 90.00°, β = 100.97°, γ = 90.00°
Space group P2_1/m (No. 11)
Symmetry-distinct sites (fractional):
Pr 0.189 0.250 0.253 [2 per cell]
Pr 0.253 0.250 0.915 [2 per cell]
Pr 0.298 0.750 0.579 [2 per cell]
Sb 0.036 0.250 0.651 [2 per cell]
Se 0.481 0.750 0.847 [2 per cell]

The calculation puts the uncorrected formation energy at -927 meV/atom. The total magnetization comes out at 0.0603 μB per atom.



The following is a PBE calculation of Mn2ZnOs after structural relaxation, from Alexandria.

a = 2.832 Å, b = 2.832 Å, c = 6.717 Å
α = 90.00°, β = 90.00°, γ = 90.00°
Space group P4mm (No. 99)
Symmetry-distinct sites (fractional):
Mn 0.000 0.000 0.000 [1 per cell]
Mn 0.500 0.500 0.245 [1 per cell]
Zn 0.500 0.500 0.739 [1 per cell]
Os 0.000 0.000 0.464 [1 per cell]

As for the energy relative to the elements: 0.1309 eV/atom. The total magnetization comes out at 1.2259 μB per atom.



The following is a PBE calculation of Pm12Er7Tm after structural relaxation, from Alexandria.

a = 19.5715 Å, b = 19.5715 Å, c = 6.1724 Å
α = 90.00°, β = 90.00°, γ = 120.00°
Space group R-3m (No. 166, hexagonal axes)
Symmetry-distinct sites (fractional):
Pm 0.0000 0.4130 0.0000 [18 per cell]
Pm 0.0980 0.5490 0.4626 [18 per cell]
Er 0.0000 0.0000 0.0000 [3 per cell]
Er 0.0811 0.1622 0.2934 [18 per cell]
Tm 0.0000 0.0000 0.5000 [3 per cell]

As for the energy relative to the elements: 0.2390 eV/atom. The total magnetization comes out at 0.0001 μB per atom.



Computed values of E (unit: eV/atom) for the preceding records, in sequence: -7.0125, -5.4987, -6.3568, -4.5449, -4.8611, -5.3162, -7.5798, -4.4320.